# 1
## Pu2Ga4CuNi3 (PBE)

Data for an optimized crystal structure of Pu2Ga4CuNi3.

```
Pu2Ga4CuNi3
1.0
4.0533 0.0000 0.0000
0.0000 4.0533 0.0000
0.0000 0.0000 10.2342
Pu Ga Cu Ni
2 4 1 3
Direct
0.0000 0.5000 0.2474
0.5000 0.0000 0.7526
0.0000 0.0000 0.0000
0.0000 0.5000 0.6312
0.5000 0.0000 0.3688
0.5000 0.5000 0.0000
0.0000 0.0000 0.5000
0.0000 0.5000 0.8647
0.5000 0.0000 0.1353
0.5000 0.5000 0.5000
```

Results
As for the energy of formation: -341 meV/atom.



# 2
## PuGa3CuNi (PBE)

Data for an optimized crystal structure of PuGa3CuNi.

```
PuGa3CuNi
1.0
3.0138 -5.9903 0.0000
3.0138 5.9903 0.0000
0.0000 0.0000 5.8236
Pu Ga Cu Ni
2 6 2 2
Direct
0.2247 0.7753 0.7500
0.7753 0.2247 0.2500
0.2098 0.2098 0.0000
0.2098 0.2098 0.5000
0.3515 0.6485 0.2500
0.6485 0.3515 0.7500
0.7902 0.7902 0.0000
0.7902 0.7902 0.5000
0.1445 0.8555 0.2500
0.8555 0.1445 0.7500
0.4392 0.5608 0.7500
0.5608 0.4392 0.2500
```

Results
As for the energy of formation: -137 meV/atom.



# 3
## GaCu2NiS4 (PBE)

Data for an optimized crystal structure of GaCu2NiS4.

```
GaCu2NiS4
1.0
-2.6176 2.6176 5.2704
2.6176 -2.6176 5.2704
2.6176 2.6176 -5.2704
Ga Cu Ni S
1 2 1 4
Direct
0.0000 0.0000 0.0000
0.2500 0.7500 0.5000
0.7500 0.2500 0.5000
0.5000 0.5000 0.0000
0.1348 0.1348 0.5184
0.3836 0.8652 0.0000
0.6164 0.6164 0.4816
0.8652 0.3836 0.0000
```

Results
The uncorrected formation energy is -38 kJ per mole of atoms.



Copy entry 2 word for word.
## PuGa3CuNi (PBE)

Data for an optimized crystal structure of PuGa3CuNi.

```
PuGa3CuNi
1.0
3.0138 -5.9903 0.0000
3.0138 5.9903 0.0000
0.0000 0.0000 5.8236
Pu Ga Cu Ni
2 6 2 2
Direct
0.2247 0.7753 0.7500
0.7753 0.2247 0.2500
0.2098 0.2098 0.0000
0.2098 0.2098 0.5000
0.3515 0.6485 0.2500
0.6485 0.3515 0.7500
0.7902 0.7902 0.0000
0.7902 0.7902 0.5000
0.1445 0.8555 0.2500
0.8555 0.1445 0.7500
0.4392 0.5608 0.7500
0.5608 0.4392 0.2500
```

Results
As for the energy of formation: -137 meV/atom.